No. 1
TbDyGe PBE optimized geometry; formation enthalpy at 0 K = -0.61 eV per atom; mass density = 8.46 Mg/m³; energy above the most stable polymorph in this dataset = 0.00 eV per formula unit
1.0
4.358 0.000 0.000
0.000 4.358 0.000
0.000 0.000 8.146
Tb Dy Ge
2 2 2
Cartesian
1.089 1.089 1.177
3.268 3.268 6.968
1.089 3.268 4.073
3.268 1.089 4.073
1.089 1.089 6.332
3.268 3.268 1.814

No. 2
PrSmHgGe PBE optimized geometry; formation enthalpy at 0 K = -0.56 eV per atom; mass density = 8.89 Mg/m³
1.0
0.000 3.749 3.749
3.749 0.000 3.749
3.749 3.749 0.000
Pr Sm Hg Ge
1 1 1 1
Cartesian
0.000 0.000 0.000
3.749 3.749 3.749
1.874 1.874 1.874
5.623 5.623 5.623

No. 3
LiLaZr3 PBE optimized geometry; formation enthalpy at 0 K = 0.63 eV per atom; mass density = 5.63 Mg/m³; energy above the most stable polymorph in this dataset = 0.00 eV per formula unit
1.0
4.985 0.000 0.000
0.000 4.985 0.000
0.000 0.000 4.985
Li La Zr
1 1 3
Cartesian
0.000 0.000 0.000
2.492 2.492 2.492
0.000 0.000 2.492
0.000 2.492 0.000
2.492 0.000 0.000

No. 4
PaTa2Se4S2 PBE optimized geometry; formation energy without anion corrections = -0.970 eV/atom; mass density = 6.80 Mg/m³
1.0
3.578 0.000 0.000
-1.789 3.099 0.000
0.000 0.000 21.424
Pa Ta Se S
1 2 4 2
Cartesian
0.000 0.000 0.000
0.000 0.000 14.032
1.789 1.033 7.005
0.000 0.000 5.358
0.000 0.000 8.649
1.789 1.033 12.388
1.789 1.033 15.679
1.789 1.033 1.710
1.789 1.033 19.714

No. 5
Mg2TiB PBE optimized geometry; formation enthalpy at 0 K = 0.48 eV per atom; mass density = 2.55 Mg/m³
1.0
-3.868 3.868 2.335
3.868 -3.868 2.335
3.868 3.868 -2.335
Mg Ti B
4 2 2
Cartesian
5.802 1.171 -0.584
1.171 1.934 0.584
-1.934 2.697 1.751
2.697 1.934 2.919
3.868 0.000 1.167
0.000 0.000 2.335
0.000 0.000 0.000
0.000 3.868 1.167

No. 6
Ac5Pr3Se8 PBE optimized geometry; formation energy without anion corrections = -1.852 eV/atom; mass density = 7.58 Mg/m³
1.0
4.393 2.536 7.170
-4.393 2.536 7.170
0.000 -5.073 7.170
Ac Pr Se
5 3 8
Cartesian
0.000 0.000 0.000
-2.197 -1.268 7.170
-2.197 1.268 14.340
0.000 2.536 7.170
0.000 0.000 10.755
-4.393 0.000 10.755
-2.197 1.268 3.585
2.197 1.268 3.585
-2.231 -1.288 12.491
0.000 0.000 5.298
0.000 -2.576 9.019
-2.231 1.288 9.019
2.231 -1.288 12.491
0.000 2.576 12.491
0.000 0.000 16.212
2.231 1.288 9.019

No. 7
AgS PBE optimized geometry; formation energy without anion corrections = 0.295 eV/atom; mass density = 3.91 Mg/m³
1.0
-3.902 3.902 3.902
3.902 -3.902 3.902
3.902 3.902 -3.902
Ag S
4 4
Cartesian
1.235 1.235 -1.235
1.235 -1.235 1.235
-1.235 1.235 1.235
2.667 2.667 2.667
2.608 2.608 -2.608
2.608 -2.608 2.608
1.294 1.294 1.294
-2.608 2.608 2.608

No. 8
K3Pm2TlS6 PBE optimized geometry; formation energy without anion corrections = -1.399 eV/atom; mass density = 4.06 Mg/m³
1.0
3.573 -6.187 0.000
3.573 6.187 0.000
-2.378 0.000 7.435
K Pm Tl S
3 2 1 6
Cartesian
0.000 0.000 0.000
3.573 2.046 0.000
3.573 -2.046 0.000
2.384 4.123 3.717
2.384 -4.123 3.717
2.384 0.000 3.717
1.201 2.046 2.175
0.022 0.000 5.256
1.201 -2.046 2.175
3.566 2.046 5.260
4.746 0.000 2.179
3.566 -2.046 5.260